# RbFe2F8

RbFe2F8 after structural relaxation (PBE+U, Alexandria via LeMat-Bulk).

Unit cell a=3.899 b=7.622 c=7.627 alpha=120.04 beta=90.01 gamma=90.05
Each line ends with the local moment (μB).
Sites, in units of the cell vectors:
Fe1 0.306 0.333 0.667  4.20
Fe2 0.694 0.667 0.333  4.20
Rb1 0.000 0.000 0.000  0.00
F1 0.193 0.667 0.333  -0.01
F2 0.807 0.333 0.667  -0.01
F3 0.693 0.803 0.193  0.08
F4 0.307 0.193 0.391  0.08
F5 0.307 0.610 0.803  0.08
F6 0.307 0.197 0.807  0.08
F7 0.693 0.807 0.609  0.08
F8 0.693 0.390 0.197  0.08

The energy above the lowest structure with this stoichiometry comes out at 0.032 eV/atom. Its energy is -4.700 eV per atom. Its total magnetization is 9.0 Bohr magnetons per cell. As for the symmetry: No. 2.